This record from the Alexandria database describes crystalline Y2TaCu at its relaxed geometry. The functional is PBE.

Lattice parameters (Å, degrees): 11.1855 3.5531 5.0135 90.00 116.56 90.00
Last column: nearest neighbours and their distance in Å.
Space group C2/m (No. 12)
One atom of each set of equivalent atoms:
1 Y 0.2145 0.0000 0.2145 x4  2 Cu 2.79
2 Ta 0.0000 0.0000 0.5000 x2  4 Cu 3.07, 8 Y 3.30-3.36
3 Cu 0.0000 0.5000 0.0000 x2  4 Y 2.79, 4 Ta 3.07

## Properties
- M_tot (μB per formula unit) = 0.47
- offset from the most stable computed form (meV per atom) = 295
- uncorrected energy (eV/atom) = -6.7972
- calculated volume (Å³ per cell) = 178.2

=====

This record from the Alexandria database describes crystalline Y3TaCu at its relaxed geometry. The functional is PBE.

Lattice parameters (Å, degrees): 5.4482 5.4482 5.4482 90.00 90.00 90.00
Last column: nearest neighbours and their distance in Å.
Space group Pm-3m (No. 221)
One atom of each set of equivalent atoms:
1 Y 0.0000 0.0000 0.5000 x3  2 Ta 2.72
2 Ta 0.0000 0.0000 0.0000 x1  6 Y 2.72
3 Cu 0.5000 0.5000 0.5000 x1  12 Y 3.85

## Properties
- M_tot (μB per formula unit) = 0.00
- offset from the most stable computed form (meV per atom) = 168
- uncorrected energy (eV/atom) = -6.1940
- calculated volume (Å³ per cell) = 161.7

=====

This record from the Alexandria database describes crystalline Y2TaCu at its relaxed geometry. The functional is PBE.

Lattice parameters (Å, degrees): 3.3104 3.3104 8.4053 90.00 90.00 90.00
Last column: nearest neighbours and their distance in Å.
Space group P4mm (No. 99)
One atom of each set of equivalent atoms:
1 Y 0.0000 0.0000 0.0000 x1  4 Ta 3.16, 4 Y 3.31, 1 Cu 3.44
2 Y 0.5000 0.5000 0.3565 x1  4 Cu 3.06, 1 Ta 3.29, 4 Y 3.31
3 Ta 0.5000 0.5000 0.7476 x1  4 Cu 2.68
4 Cu 0.0000 0.0000 0.5913 x1  4 Ta 2.68

## Properties
- M_tot (μB per formula unit) = 0.01
- offset from the most stable computed form (meV per atom) = 24
- uncorrected energy (eV/atom) = -7.0685
- calculated volume (Å³ per cell) = 92.1

=====

Formation energy values, unit meV per atom, following the record order: 422.0; 874.2; 150.8.